Entry 1:
This record from the Alexandria database describes a geometry-optimized Pm2PrEr3Se6 structure. The functional is PBE-GGA.

Unit cell a=9.295 b=9.295 c=8.384 alpha=104.92 beta=104.92 gamma=25.32
Sites, in units of the cell vectors:
Pm  0.166  0.166  0.332
Pm  0.834  0.834  0.668
Pr  0.500  0.500  0.000
Er  0.166  0.166  0.833
Er  0.500  0.500  0.500
Er  0.834  0.834  0.167
Se  0.003  0.003  0.737
Se  0.328  0.328  0.925
Se  0.336  0.336  0.408
Se  0.664  0.664  0.592
Se  0.672  0.672  0.075
Se  0.997  0.997  0.263

formation energy (no corrections)	-1774	meV/atom
calculated total energy	-5.847	eV/atom
V	298.8	Å³/cell


Entry 2:
This record from the Alexandria database describes a geometry-optimized RbTmCrCl6 structure. The functional is PBE-GGA.

Unit cell a=6.621 b=6.621 c=7.409 alpha=91.63 beta=91.63 gamma=116.81
Sites, in units of the cell vectors:
Rb  0.000  0.000  0.000
Tm  0.662  0.338  0.500
Cr  0.322  0.678  0.500
Cl  0.352  0.004  0.677
Cl  0.353  0.401  0.304
Cl  0.599  0.647  0.696
Cl  0.621  0.025  0.272
Cl  0.975  0.379  0.728
Cl  0.996  0.648  0.323

formation energy (no corrections)	-1788	meV/atom
calculated total energy	-4.693	eV/atom
V	289.5	Å³/cell


Entry 3:
This record from the Alexandria database describes a geometry-optimized YThCdAu structure. The functional is PBE-GGA.

Unit cell a=5.288 b=5.288 c=5.288 alpha=60.00 beta=60.00 gamma=60.00
Sites, in units of the cell vectors:
Y  0.000  0.000  0.000
Th  0.500  0.500  0.500
Cd  0.250  0.250  0.250
Au  0.750  0.750  0.750

calculated total energy	-4.908	eV/atom
V	104.5	Å³/cell